A relaxed structure of Sr2TbNiO6, computed with PBE+U.

The structure in CIF format:
```
data_Sr2TbNiO6
_cell_length_a 5.743
_cell_length_b 5.743
_cell_length_c 5.743
_cell_angle_alpha 60.00
_cell_angle_beta 60.00
_cell_angle_gamma 60.00
_symmetry_space_group_name_H-M 'P 1'
_symmetry_Int_Tables_number 1
loop_
_symmetry_equiv_pos_as_xyz
'x,y,z'
loop_
_atom_site_label
_atom_site_type_symbol
_atom_site_fract_x
_atom_site_fract_y
_atom_site_fract_z
Sr1 Sr 0.250 0.250 0.250
Sr2 Sr 0.750 0.750 0.750
Tb1 Tb 0.000 0.000 0.000
Ni1 Ni 0.500 0.500 0.500
O1 O 0.271 0.271 0.729
O2 O 0.271 0.729 0.271
O3 O 0.271 0.729 0.729
O4 O 0.729 0.271 0.271
O5 O 0.729 0.271 0.729
O6 O 0.729 0.729 0.271
```

Output
Size of the total moment ... 0.082 μB per atom
Raw total energy ... -61.30 eV for the cell shown
N(E_F) ... 5.3 states/eV/cell
Space-group type ... Fm-3m, No. 225